Here is Be2ZnSb after structural relaxation from Alexandria. Energies are from GGA-PBE.

## Properties
The uncorrected energy comes out at -2.646 eV/atom. The calculation puts the theoretical density at 5.63 g cm⁻³. The value obtained for the volume is 15.14 Å³ per atom. The crystal system is tetragonal. As for the excess energy over the best structure of this formula in the dataset: 236 meV/atom. For the formation energy without anion corrections, the calculation gives 566 meV/atom.

Cell lengths 4.0437, 4.0437, 3.7042 Å; angles 90.00, 90.00, 90.00 degrees
Space group P4/mmm (No. 123)
Symmetry-distinct sites (fractional):
1 Be 0.0000 0.5000 0.0000
2 Zn 0.0000 0.0000 0.5000
3 Sb 0.5000 0.5000 0.5000

=====

Here is BeZnSb2 after structural relaxation from Alexandria. Energies are from GGA-PBE.

## Properties
The uncorrected energy comes out at -3.116 eV/atom. The calculation puts the theoretical density at 6.12 g cm⁻³. The value obtained for the volume is 21.56 Å³ per atom. The crystal system is monoclinic. As for the excess energy over the best structure of this formula in the dataset: 0 meV/atom. For the formation energy without anion corrections, the calculation gives 195 meV/atom.

Cell lengths 7.8469, 3.8172, 6.0706 Å; angles 90.00, 108.43, 90.00 degrees
Space group Cm (No. 8)
Symmetry-distinct sites (fractional):
1 Be 0.0000 0.0000 0.0000
2 Zn 0.2609 0.5000 0.1563
3 Sb 0.0253 0.5000 0.3743
4 Sb 0.2426 0.0000 0.8009

=====

Here is BeZnSb2 after structural relaxation from Alexandria. Energies are from GGA-PBE.

## Properties
The uncorrected energy comes out at -3.039 eV/atom. The calculation puts the theoretical density at 5.77 g cm⁻³. The value obtained for the volume is 22.89 Å³ per atom. The crystal system is orthorhombic. As for the excess energy over the best structure of this formula in the dataset: 77 meV/atom. For the formation energy without anion corrections, the calculation gives 272 meV/atom.

Cell lengths 4.3194, 5.5743, 7.6042 Å; angles 90.00, 90.00, 90.00 degrees
Space group Cmm2 (No. 35)
Symmetry-distinct sites (fractional):
1 Be 0.0000 0.0000 0.0000
2 Zn 0.0000 0.5000 0.8438
3 Sb 0.0000 0.0000 0.6427
4 Sb 0.0000 0.5000 0.1916

=====

Here is BeZn2Sb after structural relaxation from Alexandria. Energies are from GGA-PBE.

## Properties
The uncorrected energy comes out at -2.238 eV/atom. The calculation puts the theoretical density at 6.31 g cm⁻³. The value obtained for the volume is 17.21 Å³ per atom. The crystal system is orthorhombic. As for the excess energy over the best structure of this formula in the dataset: 119 meV/atom. For the formation energy without anion corrections, the calculation gives 361 meV/atom.

Cell lengths 2.9791, 3.7006, 6.2452 Å; angles 90.00, 90.00, 90.00 degrees
Space group Pmm2 (No. 25)
Symmetry-distinct sites (fractional):
1 Be 0.0000 0.0000 0.0000
2 Zn 0.0000 0.0000 0.6020
3 Zn 0.5000 0.5000 0.8043
4 Sb 0.5000 0.5000 0.2537

=====

Here is BeZnSb2 after structural relaxation from Alexandria. Energies are from GGA-PBE.

## Properties
The uncorrected energy comes out at -2.906 eV/atom. The calculation puts the theoretical density at 6.06 g cm⁻³. The value obtained for the volume is 21.79 Å³ per atom. The crystal system is monoclinic. As for the excess energy over the best structure of this formula in the dataset: 210 meV/atom. For the formation energy without anion corrections, the calculation gives 405 meV/atom.

Cell lengths 6.0969, 7.4243, 4.3203 Å; angles 90.00, 116.95, 90.00 degrees
Space group C2/m (No. 12)
Symmetry-distinct sites (fractional):
1 Be 0.0000 0.0000 0.0000
2 Zn 0.0000 0.5000 0.0000
3 Sb 0.2500 0.2500 0.5000

=====

Here is BeZn2Sb after structural relaxation from Alexandria. Energies are from GGA-PBE.

## Properties
The uncorrected energy comes out at -2.236 eV/atom. The calculation puts the theoretical density at 6.30 g cm⁻³. The value obtained for the volume is 17.25 Å³ per atom. The crystal system is tetragonal. As for the excess energy over the best structure of this formula in the dataset: 121 meV/atom. For the formation energy without anion corrections, the calculation gives 363 meV/atom.

Cell lengths 3.7771, 3.7771, 4.8355 Å; angles 90.00, 90.00, 90.00 degrees
Space group P4/mmm (No. 123)
Symmetry-distinct sites (fractional):
1 Be 0.0000 0.0000 0.0000
2 Zn 0.0000 0.5000 0.5000
3 Sb 0.5000 0.5000 0.0000

=====

Here is Be2ZnSb after structural relaxation from Alexandria. Energies are from GGA-PBE.

## Properties
The uncorrected energy comes out at -2.661 eV/atom. The calculation puts the theoretical density at 5.62 g cm⁻³. The value obtained for the volume is 15.16 Å³ per atom. The crystal system is tetragonal. As for the excess energy over the best structure of this formula in the dataset: 221 meV/atom. For the formation energy without anion corrections, the calculation gives 552 meV/atom.

Cell lengths 3.7799, 3.7799, 8.4911 Å; angles 90.00, 90.00, 90.00 degrees
Space group I-4m2 (No. 119)
Symmetry-distinct sites (fractional):
1 Be 0.0000 0.0000 0.0000
2 Be 0.0000 0.5000 0.2500
3 Zn 0.0000 0.0000 0.5000
4 Sb 0.0000 0.5000 0.7500

=====

Here is Be4ZnSb after structural relaxation from Alexandria. Energies are from GGA-PBE.

## Properties
The uncorrected energy comes out at -2.956 eV/atom. The calculation puts the theoretical density at 4.93 g cm⁻³. The value obtained for the volume is 12.52 Å³ per atom. The crystal system is cubic. For the formation energy without anion corrections, the calculation gives 428 meV/atom.

Cell lengths 6.6978, 6.6978, 6.6978 Å; angles 90.00, 90.00, 90.00 degrees
Space group F-43m (No. 216)
Symmetry-distinct sites (fractional):
1 Be 0.1223 0.1223 0.3777
2 Zn 0.2500 0.2500 0.7500
3 Sb 0.0000 0.0000 0.0000

=====

Here is BeZn2Sb after structural relaxation from Alexandria. Energies are from GGA-PBE.

## Properties
The uncorrected energy comes out at -2.070 eV/atom. The calculation puts the theoretical density at 6.03 g cm⁻³. The value obtained for the volume is 18.02 Å³ per atom. The crystal system is cubic. As for the excess energy over the best structure of this formula in the dataset: 286 meV/atom. For the formation energy without anion corrections, the calculation gives 529 meV/atom.

Cell lengths 6.6067, 6.6067, 6.6067 Å; angles 90.00, 90.00, 90.00 degrees
Space group Fm-3m (No. 225)
Symmetry-distinct sites (fractional):
1 Be 0.0000 0.0000 0.0000
2 Zn 0.2500 0.2500 0.2500
3 Sb 0.0000 0.0000 0.5000

=====

Here is BeZn2Sb after structural relaxation from Alexandria. Energies are from GGA-PBE.

## Properties
The uncorrected energy comes out at -2.244 eV/atom. The calculation puts the theoretical density at 6.06 g cm⁻³. The value obtained for the volume is 17.91 Å³ per atom. The crystal system is monoclinic. As for the excess energy over the best structure of this formula in the dataset: 113 meV/atom. For the formation energy without anion corrections, the calculation gives 355 meV/atom.

Cell lengths 5.3502, 9.9232, 3.7540 Å; angles 90.00, 134.05, 90.00 degrees
Space group C2/m (No. 12)
Symmetry-distinct sites (fractional):
1 Be 0.0000 0.0000 0.0000
2 Zn 0.2500 0.2500 0.5000
3 Sb 0.0000 0.5000 0.0000

=====

Here is Be2ZnSb after structural relaxation from Alexandria. Energies are from GGA-PBE.

## Properties
The uncorrected energy comes out at -2.640 eV/atom. The calculation puts the theoretical density at 5.59 g cm⁻³. The value obtained for the volume is 15.23 Å³ per atom. The crystal system is orthorhombic. As for the excess energy over the best structure of this formula in the dataset: 242 meV/atom. For the formation energy without anion corrections, the calculation gives 572 meV/atom.

Cell lengths 3.8358, 4.2328, 7.5039 Å; angles 90.00, 90.00, 90.00 degrees
Space group Immm (No. 71)
Symmetry-distinct sites (fractional):
1 Be 0.0000 0.0000 0.2462
2 Zn 0.0000 0.5000 0.5000
3 Sb 0.0000 0.5000 0.0000

=====

Here is BeZnSb2 after structural relaxation from Alexandria. Energies are from GGA-PBE.

## Properties
The uncorrected energy comes out at -3.102 eV/atom. The calculation puts the theoretical density at 5.25 g cm⁻³. The value obtained for the volume is 25.16 Å³ per atom. The crystal system is tetragonal. As for the excess energy over the best structure of this formula in the dataset: 14 meV/atom. For the formation energy without anion corrections, the calculation gives 209 meV/atom.

Cell lengths 6.0337, 6.0337, 11.0576 Å; angles 90.00, 90.00, 90.00 degrees
Space group I-42d (No. 122)
Symmetry-distinct sites (fractional):
1 Be 0.0000 0.0000 0.0000
2 Zn 0.0000 0.0000 0.5000
3 Sb 0.2147 0.2500 0.1250